Material: CsZnCrF6
Method: DFT, PBE+U
State: relaxed

**Final energy**: -5.0060 eV per atom
**Space group**: Imma, No. 74

Unit cell a=7.4630 b=7.4110 c=7.4729 alpha=119.73 beta=119.96 gamma=90.00
Last column: magnetic moment on the atom in μB.
Fractional positions:
1 Cs 0.8698 0.6198 0.7397  0.00
2 Cs 0.1302 0.3802 0.2603  0.00
3 Zn 0.5000 0.5000 0.0000  -0.01
4 Zn 0.5000 0.0000 0.0000  -0.01
5 Cr 0.5000 0.0000 0.5000  2.94
6 Cr 0.0000 0.0000 0.5000  2.94
7 F 0.4272 0.6772 0.8544  -0.01
8 F 0.8098 0.0598 0.6196  -0.01
9 F 0.8311 0.0657 0.2551  0.00
10 F 0.4239 0.6894 0.2551  0.00
11 F 0.4239 0.0657 0.2551  0.00
12 F 0.8311 0.6894 0.2551  0.00
13 F 0.5728 0.3228 0.1456  -0.01
14 F 0.1902 0.9402 0.3804  -0.01
15 F 0.1689 0.9343 0.7449  0.00
16 F 0.5761 0.3106 0.7449  0.00
17 F 0.5761 0.9343 0.7449  0.00
18 F 0.1689 0.3106 0.7449  0.00